## LiTbBi (PBE)

Data for an optimized crystal structure of LiTbBi.

```
data_LiTbBi
_chemical_formula_sum 'Li4 Tb4 Bi4'
_space_group_name_H-M_alt 'P 1 21/c 1'
_space_group_IT_number 14
_cell_length_a 6.4041
_cell_length_b 6.0778
_cell_length_c 8.3999
_cell_angle_alpha 90.00
_cell_angle_beta 111.36
_cell_angle_gamma 90.00
loop_
_space_group_symop_operation_xyz
'x,y,z'
'-x,-y,-z'
'-x,y+1/2,-z+1/2'
'x,-y+1/2,z+1/2'
loop_
_atom_site_label
_atom_site_fract_x
_atom_site_fract_y
_atom_site_fract_z
Li1 0.0817 0.0854 0.2110
Tb1 0.3199 0.6394 0.1366
Bi1 0.2747 0.1619 0.9805
```

For the density, the calculation gives 8.18 g/cm3. The energy relative to the elements is -146 kJ/mol of formula units.